A plane-wave DFT calculation with PBE+U was carried out for an optimized crystal structure of MnBIO2.

Output
ΔE to the lowest computed polymorph: 0.000 eV/atom
Total DFT energy (no corrections): -24.43 eV/cell

Cell: 3.7146 3.7146 6.6910 Å, 90.00 90.00 90.00°
With the nearest neighbours (Å) after each atom.
Positions (direct):
1 I 0.0000 0.0000 0.5000  4 B 2.63
2 B 0.5000 0.5000 0.5000  4 I 2.63
3 Mn 0.0000 0.0000 0.0000  4 O 1.86
4 O 0.0000 0.5000 0.0000  2 Mn 1.86
5 O 0.5000 0.0000 0.0000  2 Mn 1.86